First-principles (PBE-GGA) data for an optimized crystal structure of LiGa2Cl8, as listed in the Alexandria database.

Cell and atoms, written as POSCAR:
```
LiGa2Cl8
1.0
6.4710 -0.1398 -0.1125
-0.1314 6.7503 4.7994
-0.1989 0.8573 8.2367
Li Ga Cl
1 2 8
Direct
0.0000 0.0000 0.0000
0.6425 0.8414 0.8414
0.3575 0.1586 0.1586
0.2188 0.8358 0.3314
0.2188 0.3314 0.8358
0.7812 0.1642 0.6686
0.2702 0.2980 0.2980
0.7812 0.6686 0.1642
0.3001 0.8403 0.8403
0.6999 0.1597 0.1597
0.7298 0.7020 0.7020
```

## Properties
energy above the lowest structure with this stoichiometry = 0 meV per atom
E_form (uncorrected) = -11.8 eV per formula unit
magnetization = 0.092 μB per atom